This record from the Alexandria database describes crystalline CrCuTcF at its relaxed geometry. The functional is PBE+U.

CIF file:
```
data_CrCuTcF
_cell_length_a 5.137
_cell_length_b 5.137
_cell_length_c 4.569
_cell_angle_alpha 114.18
_cell_angle_beta 114.18
_cell_angle_gamma 30.57
_symmetry_space_group_name_H-M 'P 1'
_symmetry_Int_Tables_number 1
loop_
_symmetry_equiv_pos_as_xyz
'x,y,z'
loop_
_atom_site_label
_atom_site_type_symbol
_atom_site_fract_x
_atom_site_fract_y
_atom_site_fract_z
Cr1 Cr 0.000 0.000 0.000
Cu1 Cu 0.477 0.477 0.483
Tc1 Tc 0.235 0.235 0.711
F1 F 0.226 0.226 0.207
```

**Symmetry**: Cm
**Crystal system**: monoclinic
**Total energy**: -23.6 eV/cell
**Energy relative to the lowest polymorph listed for this composition**: 187 meV per atom
**DOS(E_F)**: 2.55 states/eV/f.u.